TaTlOs2 | GGA-PBE | optimized geometry

Results
Calculated formation energy   754 meV/atom
Energy above the lowest structure with this stoichiometry   473 meV per atom
Symmetry   Cmm2
Uncorrected energy   -33.663 eV per formula unit

The structure in extended XYZ format:
```
4
Lattice="-0.735 -0.650 2.719 2.792 0.423 -0.618 -0.984 9.378 1.975" Properties=species:S:1:pos:R:3 pbc="T T T"
Os -0.018 0.168 0.035
Os 0.786 2.198 1.537
Ta -0.471 4.486 0.945
Tl 0.283 6.988 2.546
```

Be2TlSe | GGA-PBE | optimized geometry

Results
Raw formation energy   2.2 eV/f.u.
Energy above the lowest structure with this stoichiometry   513 meV per atom
Symmetry   Pmmm
Uncorrected energy   -11.087 eV per formula unit

The structure in extended XYZ format:
```
4
Lattice="3.471 0.000 0.000 0.000 6.180 0.000 0.000 0.000 3.545" Properties=species:S:1:pos:R:3 pbc="T T T"
Be 0.000 0.000 0.000
Be 1.736 3.090 0.000
Tl 0.000 3.090 1.772
Se 1.736 0.000 1.772
```

Li3Cd4Hg4 | GGA-PBE | optimized geometry

Results
Calculated formation energy   -191 meV/atom
Energy above the lowest structure with this stoichiometry   0 meV per atom
Symmetry   P-1
Uncorrected energy   -12.708 eV per formula unit

The structure in extended XYZ format:
```
11
Lattice="-0.230 -2.648 -2.144 4.985 -1.533 -1.332 -0.781 -8.251 10.235" Properties=species:S:1:pos:R:3 pbc="T T T"
Li 1.191 -4.887 0.478
Li 2.783 -7.545 6.281
Li -1.011 -10.899 8.091
Cd 2.058 -2.154 -0.260
Cd 1.916 -10.279 7.018
Cd 0.440 -8.036 4.407
Cd 3.535 -4.396 2.352
Hg 4.259 -4.244 -0.627
Hg 3.156 -7.455 3.423
Hg 0.818 -4.978 3.336
Hg -0.284 -8.188 7.386
```

Ca2AcLaAu4 | GGA-PBE | optimized geometry

Results
Calculated formation energy   -809 meV/atom
Symmetry   R-3m
Uncorrected energy   -32.623 eV per formula unit

The structure in extended XYZ format:
```
8
Lattice="5.296 0.000 0.000 2.648 4.586 0.000 2.648 1.529 8.712" Properties=species:S:1:pos:R:3 pbc="T T T"
Ca 7.944 4.586 6.493
Ca 2.648 1.529 2.219
Ac 0.000 0.000 0.000
La 5.296 3.058 4.356
Au 5.296 3.058 7.537
Au 7.944 4.586 3.311
Au 2.648 1.529 5.401
Au 5.296 3.058 1.175
```

Tb2Sm6Ho | GGA-PBE | optimized geometry

Results
Calculated formation energy   228 meV/atom
Energy above the lowest structure with this stoichiometry   95 meV per atom
Symmetry   C2/m
Uncorrected energy   -40.101 eV per formula unit

The structure in extended XYZ format:
```
9
Lattice="6.067 -0.027 -0.015 0.036 7.625 0.008 0.036 3.806 6.607" Properties=species:S:1:pos:R:3 pbc="T T T"
Tb 4.800 7.594 4.395
Tb 1.338 3.810 2.205
Sm 1.788 5.963 5.364
Sm 1.801 9.268 5.363
Sm 1.788 7.622 2.498
Sm 4.350 5.441 1.236
Sm 4.337 2.136 1.236
Sm 4.350 3.782 4.102
Ho 0.000 0.000 0.000
```

TcNiTe2Rh | GGA-PBE | optimized geometry

Results
Raw formation energy   5.4 eV/f.u.
Symmetry   P4/mmm
Uncorrected energy   -24.418 eV per formula unit

The structure in extended XYZ format:
```
5
Lattice="5.135 0.000 0.000 0.000 4.529 0.000 0.000 0.000 5.135" Properties=species:S:1:pos:R:3 pbc="T T T"
Ni 0.000 2.265 0.000
Te 0.000 0.000 2.568
Te 2.568 0.000 0.000
Rh 0.000 0.000 0.000
Tc 2.568 2.265 2.568
```

> The lowest uncorrected energy belongs to which entry?

Tb2Sm6Ho